Density functional theory data (PBE-GGA) for crystalline Nb2Pd2Au at its relaxed geometry.

Unit cell a=3.6553 b=4.2246 c=6.3806 alpha=90.00 beta=106.58 gamma=90.00
With the nearest neighbours (Å) after each atom.
Space group P2/m (No. 10)
Asymmetric unit:
Nb 0.1648 0.0000 0.3327 (multiplicity 2)  2 Nb 2.73-2.75, 6 Pd 2.79-2.93, 2 Au 2.93
Pd 0.3325 0.5000 0.6650 (multiplicity 2)  2 Pd 2.72, 2 Au 2.74-2.75, 6 Nb 2.79-2.93
Au 0.0000 0.5000 0.0000 (multiplicity 1)  4 Pd 2.74-2.75, 4 Nb 2.93

N(E_F)   0.999 states/eV per atom
Relative energy among the computed polymorphs   315.5 meV/atom
VASP energy   -6.673 eV/atom